Record 1
A plane-wave DFT calculation with PBE was carried out for a relaxed SrLiSm crystal.

Cell lengths 5.416, 5.416, 9.376 Å; angles 106.80, 106.80, 59.95 degrees
Fractional positions:
1 Li 0.052 0.052 0.655
2 Sm 0.361 0.361 0.584
3 Sr 0.215 0.215 0.147
4 Li 0.948 0.948 0.345
5 Sr 0.785 0.785 0.853
6 Sm 0.639 0.639 0.416

Values from the calculation:
Volume = 37.4 A^3/atom
Energy above the lowest structure with this stoichiometry = 35 meV per atom
M_tot = 0.00 μB per atom
Density of states at the Fermi level = 8.311 states/eV/cell
ρ = 3.62 Mg/m³

***

Record 2
A plane-wave DFT calculation with PBE was carried out for a relaxed SrLiSm crystal.

Cell lengths 3.853, 3.853, 7.583 Å; angles 104.72, 104.72, 90.00 degrees
Each line ends with the local moment (μB).
Fractional positions:
1 Li 0.676 0.676 0.352  0.01
2 Sm 0.309 0.309 0.619  0.14
3 Sr 0.015 0.015 0.030  0.01

Values from the calculation:
Volume = 35.0 A^3/atom
Energy above the lowest structure with this stoichiometry = 0 meV per atom
M_tot = 0.12 μB per atom
Density of states at the Fermi level = 4.456 states/eV/cell
ρ = 3.87 Mg/m³

***

Record 3
A plane-wave DFT calculation with PBE was carried out for a relaxed SrLiSm2 crystal.

Cell lengths 3.585, 3.585, 12.644 Å; angles 81.85, 81.85, 60.00 degrees
Fractional positions:
1 Li 0.500 0.500 0.500
2 Sm 0.904 0.904 0.287
3 Sr 0.000 0.000 0.000
4 Sm 0.096 0.096 0.713

Values from the calculation:
Volume = 34.7 A^3/atom
M_tot = 0.00 μB per atom
Density of states at the Fermi level = 4.942 states/eV/cell
ρ = 4.73 Mg/m³
E = -11.766 eV for the cell shown

***

Record 4
A plane-wave DFT calculation with PBE was carried out for a relaxed Sr3LiSm3Te8 crystal.

Cell lengths 9.058, 9.058, 9.227 Å; angles 119.39, 90.00, 120.00 degrees
Fractional positions:
1 Te 0.244 0.985 0.729
2 Sm 0.000 0.500 0.500
3 Sr 0.500 0.500 0.000
4 Te 0.745 0.490 0.736
5 Te 0.258 0.015 0.271
6 Sr 0.000 0.500 0.000
7 Te 0.243 0.487 0.729
8 Te 0.742 0.985 0.729
9 Te 0.757 0.513 0.271
10 Sm 0.500 0.500 0.500
11 Sr 0.000 0.000 0.000
12 Te 0.255 0.510 0.264
13 Te 0.756 0.015 0.271
14 Li 0.000 0.000 0.500
15 Sm 0.500 0.000 0.500

Values from the calculation:
Volume = 36.0 A^3/atom
M_tot = 0.00 μB per atom
ΔE_f (raw) = -1446 meV/atom
ρ = 5.35 Mg/m³

***

Record 5
A plane-wave DFT calculation with PBE was carried out for a relaxed SrLiSmTe3 crystal.

Cell lengths 4.485, 9.293, 9.813 Å; angles 103.22, 90.00, 90.00 degrees
Fractional positions:
1 Te 0.250 0.103 0.872
2 Li 0.750 0.915 0.413
3 Te 0.750 0.434 0.169
4 Te 0.250 0.778 0.490
5 Sr 0.250 0.185 0.238
6 Li 0.250 0.085 0.587
7 Sm 0.250 0.670 0.165
8 Te 0.750 0.897 0.128
9 Sr 0.750 0.815 0.762
10 Te 0.750 0.222 0.510
11 Te 0.250 0.566 0.831
12 Sm 0.750 0.330 0.835

Values from the calculation:
Volume = 33.2 A^3/atom
M_tot = 0.00 μB per atom
ΔE_f (raw) = -1424 meV/atom
ρ = 5.24 Mg/m³

***

Record 6
A plane-wave DFT calculation with PBE was carried out for a relaxed SrLi2SmTl4 crystal.

Cell lengths 5.332, 5.332, 9.248 Å; angles 73.25, 73.25, 60.00 degrees
Fractional positions:
1 Tl 0.623 0.623 0.132
2 Tl 0.127 0.127 0.618
3 Sm 0.500 0.500 0.500
4 Li 0.751 0.751 0.747
5 Li 0.249 0.249 0.253
6 Tl 0.377 0.377 0.868
7 Sr 0.000 0.000 0.000
8 Tl 0.873 0.873 0.382

Values from the calculation:
Volume = 26.8 A^3/atom
M_tot = 0.00 μB per atom
Density of states at the Fermi level = 3.875 states/eV/cell
ρ = 8.27 Mg/m³
E = -22.189 eV for the cell shown

***

Record 7
A plane-wave DFT calculation with PBE was carried out for a relaxed SrLiSm2Tl4 crystal.

Cell lengths 5.395, 5.395, 9.680 Å; angles 73.82, 73.82, 60.00 degrees
Fractional positions:
1 Li 0.500 0.500 0.500
2 Tl 0.616 0.616 0.151
3 Tl 0.384 0.384 0.849
4 Sm 0.243 0.243 0.271
5 Sr 0.000 0.000 0.000
6 Tl 0.127 0.127 0.619
7 Sm 0.757 0.757 0.729
8 Tl 0.873 0.873 0.381

Values from the calculation:
Volume = 28.9 A^3/atom
M_tot = 0.00 μB per atom
Density of states at the Fermi level = 4.764 states/eV/cell
ρ = 8.72 Mg/m³
E = -25.056 eV for the cell shown

***

Record 8
A plane-wave DFT calculation with PBE was carried out for a relaxed SrLiSmTl crystal.

Cell lengths 5.572, 5.572, 5.572 Å; angles 60.00, 60.00, 60.00 degrees
Fractional positions:
1 Li 0.000 0.000 0.000
2 Tl 0.500 0.500 0.500
3 Sm 0.750 0.750 0.750
4 Sr 0.250 0.250 0.250

Values from the calculation:
Volume = 30.6 A^3/atom
M_tot = 0.00 μB per atom
Density of states at the Fermi level = 3.615 states/eV/cell
ρ = 6.10 Mg/m³
E = -11.365 eV for the cell shown

***

Record 9
A plane-wave DFT calculation with PBE was carried out for a relaxed SrLi2Sm2Tl2 crystal.

Cell lengths 4.968, 4.968, 10.030 Å; angles 75.66, 75.66, 60.00 degrees
Fractional positions:
1 Sm 0.870 0.870 0.389
2 Tl 0.747 0.747 0.758
3 Sm 0.130 0.130 0.611
4 Li 0.408 0.408 0.777
5 Tl 0.253 0.253 0.242
6 Li 0.592 0.592 0.223
7 Sr 0.000 0.000 0.000

Values from the calculation:
Volume = 29.4 A^3/atom
M_tot = 0.00 μB per atom
Density of states at the Fermi level = 5.920 states/eV/cell
ρ = 6.55 Mg/m³
E = -21.061 eV for the cell shown

***

Record 10
A plane-wave DFT calculation with PBE was carried out for a relaxed LiSm2Ta crystal.

Cell lengths 3.180, 3.180, 11.946 Å; angles 82.35, 82.35, 60.00 degrees
Fractional positions:
1 Sm 0.083 0.083 0.750
2 Li 0.500 0.500 0.500
3 Ta 0.000 0.000 0.000
4 Sm 0.917 0.917 0.250

Values from the calculation:
Volume = 25.9 A^3/atom
M_tot = 0.00 μB per atom
Density of states at the Fermi level = 5.050 states/eV/cell
ρ = 7.85 Mg/m³
E = -20.695 eV for the cell shown

***

Record 11
A plane-wave DFT calculation with PBE was carried out for a relaxed Li4TbSm crystal.

Cell lengths 5.877, 5.877, 5.877 Å; angles 60.00, 60.00, 60.00 degrees
Fractional positions:
1 Tb 0.000 0.000 0.000
2 Sm 0.250 0.250 0.250
3 Li 0.124 0.625 0.625
4 Li 0.625 0.124 0.625
5 Li 0.625 0.625 0.625
6 Li 0.625 0.625 0.124

Values from the calculation:
Volume = 23.9 A^3/atom
M_tot = 0.00 μB per atom
Density of states at the Fermi level = 5.078 states/eV/cell
ρ = 3.90 Mg/m³
E = -16.335 eV for the cell shown

***

Record 12
A plane-wave DFT calculation with PBE was carried out for a relaxed Li2TbSm crystal.

Cell lengths 3.751, 3.751, 7.520 Å; angles 90.00, 90.00, 90.00 degrees
Fractional positions:
1 Li 0.000 0.000 0.747
2 Li 0.000 0.000 0.253
3 Tb 0.500 0.500 0.500
4 Sm 0.500 0.500 0.000

Values from the calculation:
Volume = 26.5 A^3/atom
Energy above the lowest structure with this stoichiometry = 0 meV per atom
M_tot = 0.00 μB per atom
Density of states at the Fermi level = 4.720 states/eV/cell
ρ = 5.07 Mg/m³

***

Record 13
A plane-wave DFT calculation with PBE was carried out for a relaxed LiTb5Sm4 crystal.

Cell lengths 3.609, 3.609, 24.138 Å; angles 90.00, 90.00, 90.00 degrees
Fractional positions:
1 Tb 0.500 0.500 0.290
2 Li 0.000 0.000 0.000
3 Sm 0.000 0.000 0.605
4 Tb 0.500 0.500 0.918
5 Sm 0.000 0.000 0.395
6 Sm 0.000 0.000 0.815
7 Tb 0.500 0.500 0.082
8 Sm 0.000 0.000 0.185
9 Tb 0.500 0.500 0.500
10 Tb 0.500 0.500 0.710

Values from the calculation:
Volume = 31.4 A^3/atom
M_tot = 0.00 μB per atom
Density of states at the Fermi level = 12.373 states/eV/cell
ρ = 7.41 Mg/m³
E = -43.572 eV for the cell shown

***

Record 14
A plane-wave DFT calculation with PBE was carried out for a relaxed Li2TbSm crystal.

Cell lengths 5.310, 5.310, 5.310 Å; angles 60.00, 60.00, 60.00 degrees
Fractional positions:
1 Sm 0.000 0.000 0.000
2 Li 0.250 0.250 0.250
3 Tb 0.500 0.500 0.500
4 Li 0.750 0.750 0.750

Values from the calculation:
Volume = 26.5 A^3/atom
Energy above the lowest structure with this stoichiometry = 2 meV per atom
M_tot = 0.00 μB per atom
Density of states at the Fermi level = 5.233 states/eV/cell
ρ = 5.07 Mg/m³

***

Record 15
A plane-wave DFT calculation with PBE was carried out for a relaxed LiTbSmTc crystal.

Cell lengths 4.982, 4.982, 4.982 Å; angles 60.00, 60.00, 60.00 degrees
Fractional positions:
1 Sm 0.750 0.750 0.750
2 Tc 0.500 0.500 0.500
3 Tb 0.250 0.250 0.250
4 Li 0.000 0.000 0.000

Values from the calculation:
Volume = 21.9 A^3/atom
M_tot = 0.00 μB per atom
Density of states at the Fermi level = 3.594 states/eV/cell
ρ = 7.87 Mg/m³
E = -21.594 eV for the cell shown

***

Record 16
A plane-wave DFT calculation with PBE was carried out for a relaxed LiTb2Sm3Te6 crystal.

Cell lengths 4.390, 8.788, 9.827 Å; angles 103.08, 102.91, 90.00 degrees
Fractional positions:
1 Te 0.661 0.084 0.322
2 Te 0.667 0.580 0.334
3 Tb 0.168 0.337 0.335
4 Te 0.999 0.762 0.997
5 Tb 0.832 0.663 0.665
6 Sm 0.500 0.500 0.000
7 Te 0.001 0.238 0.003
8 Li 0.500 0.000 0.000
9 Sm 0.832 0.169 0.664
10 Sm 0.168 0.831 0.336
11 Te 0.339 0.916 0.678
12 Te 0.333 0.420 0.666

Values from the calculation:
Volume = 29.9 A^3/atom
M_tot = 0.00 μB per atom
Density of states at the Fermi level = 4.339 states/eV/cell
ΔE_f (raw) = -1353 meV/atom
ρ = 7.12 Mg/m³

***

Record 17
A plane-wave DFT calculation with PBE was carried out for a relaxed LiTbSmTe3 crystal.

Cell lengths 4.260, 8.982, 9.506 Å; angles 103.67, 90.00, 90.00 degrees
Fractional positions:
1 Te 0.750 0.910 0.124
2 Te 0.250 0.572 0.823
3 Tb 0.750 0.333 0.840
4 Tb 0.250 0.667 0.160
5 Te 0.750 0.232 0.498
6 Sm 0.750 0.812 0.768
7 Te 0.250 0.768 0.502
8 Sm 0.250 0.188 0.232
9 Li 0.250 0.085 0.586
10 Te 0.750 0.428 0.177
11 Li 0.750 0.915 0.414
12 Te 0.250 0.090 0.876

Values from the calculation:
Volume = 29.4 A^3/atom
M_tot = 0.00 μB per atom
Density of states at the Fermi level = 5.565 states/eV/cell
ΔE_f (raw) = -1271 meV/atom
ρ = 6.57 Mg/m³

***

Record 18
A plane-wave DFT calculation with PBE was carried out for a relaxed Li4Tb3SmTe8 crystal.

Cell lengths 8.747, 8.694, 8.745 Å; angles 120.24, 120.00, 90.00 degrees
Fractional positions:
1 Te 0.248 0.244 0.496
2 Tb 0.500 0.500 0.500
3 Te 0.749 0.757 0.004
4 Te 0.251 0.243 0.996
5 Tb 0.000 0.500 0.500
6 Te 0.254 0.757 0.004
7 Te 0.254 0.757 0.509
8 Te 0.746 0.243 0.491
9 Li 0.000 0.000 0.500
10 Te 0.746 0.243 0.996
11 Sm 0.000 0.500 0.000
12 Tb 0.500 0.500 0.000
13 Te 0.752 0.756 0.504
14 Li 0.000 0.000 0.000
15 Li 0.500 0.000 0.500
16 Li 0.500 0.000 0.000

Values from the calculation:
Volume = 29.3 A^3/atom
M_tot = 0.00 μB per atom
ΔE_f (raw) = -1296 meV/atom
ρ = 5.94 Mg/m³

***

Record 19
A plane-wave DFT calculation with PBE was carried out for a relaxed Li3Tb2SmTe6 crystal.

Cell lengths 7.582, 7.582, 7.508 Å; angles 99.69, 99.69, 120.00 degrees
Fractional positions:
1 Tb 0.667 0.333 0.000
2 Te 0.914 0.577 0.743
3 Te 0.577 0.914 0.743
4 Te 0.749 0.749 0.258
5 Li 0.500 0.500 0.500
6 Te 0.423 0.086 0.257
7 Te 0.086 0.423 0.257
8 Li 0.834 0.166 0.500
9 Sm 0.000 0.000 0.000
10 Tb 0.333 0.667 0.000
11 Li 0.166 0.834 0.500
12 Te 0.251 0.251 0.742

Values from the calculation:
Volume = 29.3 A^3/atom
M_tot = 0.00 μB per atom
ΔE_f (raw) = -1297 meV/atom
ρ = 5.92 Mg/m³

***

Record 20
A plane-wave DFT calculation with PBE was carried out for a relaxed Li3TbSm2Te6 crystal.

Cell lengths 7.616, 7.616, 7.517 Å; angles 99.73, 99.73, 120.00 degrees
Fractional positions:
1 Sm 0.667 0.333 0.000
2 Li 0.167 0.833 0.500
3 Li 0.833 0.167 0.500
4 Te 0.757 0.757 0.258
5 Te 0.086 0.416 0.259
6 Tb 0.000 0.000 0.000
7 Te 0.416 0.086 0.259
8 Te 0.243 0.243 0.742
9 Te 0.584 0.914 0.741
10 Sm 0.333 0.667 0.000
11 Li 0.500 0.500 0.500
12 Te 0.914 0.584 0.741

Values from the calculation:
Volume = 29.6 A^3/atom
M_tot = 0.00 μB per atom
ΔE_f (raw) = -1297 meV/atom
ρ = 5.82 Mg/m³

***

Record 21
A plane-wave DFT calculation with PBE was carried out for a relaxed LiTb3Sm4Te8 crystal.

Cell lengths 8.779, 8.808, 8.779 Å; angles 119.89, 120.00, 90.00 degrees
Fractional positions:
1 Te 0.252 0.256 0.504
2 Te 0.757 0.261 0.515
3 Sm 0.500 0.000 0.000
4 Tb 0.000 0.500 0.500
5 Li 0.000 0.500 0.000
6 Te 0.246 0.261 0.004
7 Te 0.242 0.739 0.996
8 Te 0.748 0.744 0.496
9 Sm 0.000 0.000 0.000
10 Te 0.758 0.261 0.004
11 Te 0.243 0.739 0.485
12 Tb 0.500 0.500 0.000
13 Te 0.754 0.739 0.996
14 Sm 0.000 0.000 0.500
15 Sm 0.500 0.000 0.500
16 Tb 0.500 0.500 0.500

Values from the calculation:
Volume = 30.0 A^3/atom
M_tot = 0.00 μB per atom
Density of states at the Fermi level = 7.840 states/eV/cell
ΔE_f (raw) = -1351 meV/atom
ρ = 7.27 Mg/m³

***

Record 22
A plane-wave DFT calculation with PBE was carried out for a relaxed Li2TbSmTe4 crystal.

Cell lengths 4.389, 7.598, 7.510 Å; angles 109.69, 90.00, 90.00 degrees
Fractional positions:
1 Te 0.500 0.256 0.259
2 Li 0.500 0.000 0.500
3 Sm 0.000 0.000 0.000
4 Li 0.000 0.500 0.500
5 Te 0.500 0.744 0.741
6 Te 0.000 0.749 0.257
7 Te 0.000 0.251 0.743
8 Tb 0.500 0.500 0.000

Values from the calculation:
Volume = 29.5 A^3/atom
M_tot = 0.00 μB per atom
ΔE_f (raw) = -1297 meV/atom
ρ = 5.87 Mg/m³

***

Record 23
A plane-wave DFT calculation with PBE was carried out for a relaxed LiTb2SmTe5 crystal.

Cell lengths 4.355, 9.535, 13.246 Å; angles 90.00, 90.00, 103.20 degrees
Fractional positions:
1 Tb 0.874 0.748 0.799
2 Tb 0.894 0.789 0.184
3 Te 0.045 0.090 0.076
4 Te 0.685 0.371 0.839
5 Tb 0.126 0.252 0.299
6 Te 0.717 0.434 0.172
7 Tb 0.106 0.211 0.684
8 Te 0.365 0.731 0.999
9 Sm 0.198 0.396 0.007
10 Te 0.315 0.629 0.339
11 Sm 0.802 0.604 0.507
12 Li 0.446 0.893 0.465
13 Te 0.503 0.005 0.282
14 Te 0.283 0.566 0.672
15 Li 0.554 0.107 0.965
16 Te 0.635 0.269 0.499
17 Te 0.497 0.995 0.782
18 Te 0.955 0.910 0.576

Values from the calculation:
Volume = 29.8 A^3/atom
M_tot = 0.00 μB per atom
ΔE_f (raw) = -1242 meV/atom
ρ = 6.90 Mg/m³